Computed, not measured: a crystal of CrReOs2 relaxed with PBEsol at the SCAN level of DFT.

Cell: 2.6941 2.6941 26.0000 Å, 90.00 90.00 120.00°
Last column: nearest neighbours and their distance in Å.
Space group R-3m (No. 166, hexagonal axes)
One atom of each set of equivalent atoms:
Cr 0.0000 0.0000 0.0000 [3 per cell]  6 Os 2.60, 6 Cr 2.69
Re 0.0000 0.0000 0.5000 [3 per cell]  6 Re 2.69, 6 Os 2.74
Os 0.0000 0.0000 0.2533 [6 per cell]  3 Cr 2.60, 6 Os 2.69, 3 Re 2.74

Properties
The value obtained for the calculated total energy is -58.1850 eV per atom. The density comes out at 18.86 g/cm3.